No. 1
Below is a geometry-optimized P2CSeCl structure, with properties calculated at the PBE level.

Values from the calculation:
The value obtained for the uncorrected formation energy is 1.28 eV per atom.

abc: 4.2338 4.2338 4.2492
angles: 90.00 90.00 90.00
With the nearest neighbours (Å) after each atom.
Sites, in units of the cell vectors:
Cl 0.0000 0.0000 0.5000  2 C 2.12
P 0.0000 0.5000 0.0000  2 C 2.12
P 0.5000 0.0000 0.0000  2 C 2.12
C 0.0000 0.0000 0.0000  4 P 2.12, 2 Cl 2.12
Se 0.5000 0.5000 0.5000  4 Cl 2.99, 8 P 3.00

=====

No. 2
Below is a geometry-optimized Ca2ScVGa structure, with properties calculated at the PBE level.

Values from the calculation:
The formation enthalpy at 0 K comes out at 394.8 kJ/mol of formula units.

abc: 5.5340 5.2320 5.5340
angles: 90.00 90.00 90.00
With the nearest neighbours (Å) after each atom.
Sites, in units of the cell vectors:
Sc 0.0000 0.5000 0.0000  2 Ga 2.62
Ca 0.5000 0.0000 0.0000  2 Ga 2.77
V 0.5000 0.5000 0.5000  8 Ca 3.81, 4 Sc 3.91
Ga 0.0000 0.0000 0.0000  2 Sc 2.62, 4 Ca 2.77
Ca 0.0000 0.0000 0.5000  2 Ga 2.77

=====

No. 3
Below is a geometry-optimized Er2RePbO8 structure, with properties calculated at the PBE level.

Values from the calculation:
The value obtained for the uncorrected formation energy is -2.27 eV per atom.

abc: 4.9813 4.9759 6.8903
angles: 90.00 90.00 91.34
With the nearest neighbours (Å) after each atom.
Sites, in units of the cell vectors:
O 0.7245 0.7264 0.0000  1 Re 1.91
O 0.8166 0.1853 0.7979  1 Re 1.91
Pb 0.0000 0.0000 0.5000  6 O 2.19-2.44
Er 0.5000 0.5000 0.7544  6 O 2.18-2.31
Re 0.0000 0.0000 0.0000  6 O 1.91
O 0.1834 0.8147 0.7979  1 Re 1.91
O 0.2755 0.2736 0.0000  1 Re 1.91
O 0.6851 0.6868 0.5000  2 Er 2.18, 1 Pb 2.19
O 0.1834 0.8147 0.2021  1 Re 1.91
O 0.8166 0.1853 0.2021  1 Re 1.91
O 0.3149 0.3132 0.5000  2 Er 2.18, 1 Pb 2.19
Er 0.5000 0.5000 0.2456  6 O 2.18-2.31

=====

No. 4
Below is a geometry-optimized Si6Ni21As2 structure, with properties calculated at the PBE level.

Values from the calculation:
The value obtained for the uncorrected formation energy is -0.28 eV per atom.

abc: 7.8776 7.8776 7.8776
angles: 60.00 60.00 60.00
With the nearest neighbours (Å) after each atom.
Sites, in units of the cell vectors:
Si 0.2755 0.2755 0.7245  8 Ni 2.24-2.29
Si 0.7245 0.2755 0.2755  8 Ni 2.24-2.29
Ni 0.0000 0.0000 0.3436  2 Si 2.24, 1 Ni 2.46
Ni 0.6564 0.0000 0.3436  2 Si 2.24, 1 Ni 2.46
As 0.7500 0.7500 0.7500  4 Ni 2.35
Ni 0.6282 0.6282 0.1153  3 Si 2.29, 1 As 2.35
Ni 0.0000 0.3436 0.0000  2 Si 2.24, 1 Ni 2.46
Ni 0.3436 0.0000 0.0000  2 Si 2.24, 1 Ni 2.46
As 0.2500 0.2500 0.2500  4 Ni 2.35
Ni 0.6564 0.3436 0.0000  2 Si 2.24, 1 Ni 2.46
Si 0.7245 0.7245 0.2755  8 Ni 2.24-2.29
Ni 0.6564 0.0000 0.0000  2 Si 2.24, 1 Ni 2.46
Si 0.2755 0.7245 0.2755  8 Ni 2.24-2.29
Si 0.7245 0.2755 0.7245  8 Ni 2.24-2.29
Ni 0.0000 0.0000 0.0000  12 Ni 2.71
Ni 0.3436 0.0000 0.6564  2 Si 2.24, 1 Ni 2.46
Ni 0.3436 0.6564 0.0000  2 Si 2.24, 1 Ni 2.46
Ni 0.0000 0.6564 0.0000  2 Si 2.24, 1 Ni 2.46
Ni 0.0000 0.0000 0.6564  2 Si 2.24, 1 Ni 2.46
Ni 0.6282 0.1153 0.6282  3 Si 2.29, 1 As 2.35
Si 0.2755 0.7245 0.7245  8 Ni 2.24-2.29
Ni 0.3718 0.8847 0.3718  3 Si 2.29, 1 As 2.35
Ni 0.1153 0.6282 0.6282  3 Si 2.29, 1 As 2.35
Ni 0.3718 0.3718 0.3718  3 Si 2.29, 1 As 2.35
Ni 0.8847 0.3718 0.3718  3 Si 2.29, 1 As 2.35
Ni 0.6282 0.6282 0.6282  3 Si 2.29, 1 As 2.35
Ni 0.0000 0.3436 0.6564  2 Si 2.24, 1 Ni 2.46
Ni 0.3718 0.3718 0.8847  3 Si 2.29, 1 As 2.35
Ni 0.0000 0.6564 0.3436  2 Si 2.24, 1 Ni 2.46

=====

Size of the total moment for the records above, in order: 0.0 1.0 0.0 0.0 μB/f.u.